[1]
A plane-wave DFT calculation with GGA-PBE was carried out for a geometry-optimized TbZrFe10 structure.

Cell and atoms, written as POSCAR:
```
TbZrFe10
1.0
-0.6179 0.1272 -3.9011
3.8066 -3.0575 -0.7026
-5.2519 -6.6796 0.6140
Tb Zr Fe
1 1 10
direct
0.0000 0.0000 0.0000
0.0000 0.5000 0.5000
0.0000 0.0000 0.3383
0.0000 0.5000 0.8281
0.0000 0.5000 0.1719
0.0000 0.0000 0.6617
0.5000 0.0000 0.5000
0.5000 0.5000 0.0000
0.5000 0.2524 0.2552
0.5000 0.7476 0.7448
0.5000 0.7476 0.2552
0.5000 0.2524 0.7448
```

Calculated values
Total moment = 19.2 μB/cell
E_form = -0.7 eV per formula unit
Symmetry = No. 47

[2]
A plane-wave DFT calculation with GGA-PBE was carried out for a geometry-optimized Ce2AgAu structure.

Cell and atoms, written as POSCAR:
```
Ce2AgAu
1.0
-2.7170 -2.6204 0.1543
1.5096 -1.2830 4.7944
-3.2731 3.5098 1.9698
Au Ce Ag
1 2 1
direct
0.5000 0.5000 0.5000
0.0000 0.0000 0.5000
0.0000 0.5000 0.0000
0.5000 0.0000 0.0000
```

Calculated values
Total moment = 2.2 μB/cell
E_form = -1.3 eV per formula unit
Symmetry = No. 123

[3]
A plane-wave DFT calculation with GGA-PBE was carried out for a geometry-optimized Os2RuAu structure.

Cell and atoms, written as POSCAR:
```
Os2RuAu
1.0
-3.7462 -5.6359 2.5038
4.3536 -4.4917 -3.5967
1.8930 -5.1936 1.5394
Os Au Ru
4 2 2
direct
0.5775 0.1250 0.2500
0.1725 0.6250 0.2500
0.3750 0.4225 0.7500
0.8750 0.8275 0.7500
0.0000 0.0000 0.0000
0.7500 0.2500 0.5000
0.5000 0.5000 0.0000
0.2500 0.7500 0.5000
```

Calculated values
Total moment = 0.0 μB/cell
E_form = 4.2 eV per formula unit
Offset from the most stable computed form = 760 meV per atom
Symmetry = No. 122

[4]
A plane-wave DFT calculation with GGA-PBE was carried out for a geometry-optimized TmCoRhPb structure.

Cell and atoms, written as POSCAR:
```
TmCoRhPb
1.0
-1.9966 -1.6593 -3.8790
-2.7670 -3.7525 0.2212
-4.6021 0.4533 -0.6334
Pb Co Tm Rh
1 1 1 1
direct
0.2500 0.2500 0.2500
0.5000 0.5000 0.5000
0.7500 0.7500 0.7500
0.0000 0.0000 0.0000
```

Calculated values
Total moment = 1.1 μB/cell
E_form = -1.2 eV per formula unit
Symmetry = No. 216